First-principles (GGA-PBE) data for a geometry-optimized MoP2Se structure, as listed in the Alexandria database.

Unit cell a=3.4375 b=3.4375 c=9.3445 alpha=90.00 beta=90.00 gamma=125.70
Fractional coordinates of all 4 atoms:
Mo1 0.5000 0.5000 0.7777
P1 0.0000 0.0000 0.9932
P2 0.5000 0.5000 0.1476
Se1 0.0000 0.0000 0.5815

Computed properties:
Final energy, eV/f.u.: -23.5
Fermi-level density of states, states/eV per atom: 0.489
Energy relative to the elements, uncorrected, eV/f.u.: 1.65


First-principles (GGA-PBE) data for a geometry-optimized MoPSe3 structure, as listed in the Alexandria database.

Unit cell a=4.9154 b=4.9154 c=4.9154 alpha=90.00 beta=90.00 gamma=90.00
Site moments in Bohr magnetons follow the coordinates.
Fractional coordinates of all 5 atoms:
P1 0.5000 0.5000 0.5000  0.55
Mo1 0.0000 0.0000 0.0000  0.22
Se1 0.0000 0.5000 0.0000  0.00
Se2 0.0000 0.0000 0.5000  0.00
Se3 0.5000 0.0000 0.0000  -0.02

Computed properties:
Final energy, eV/f.u.: -23.4
Fermi-level density of states, states/eV per atom: 1.081
E above lowest polymorph, meV per atom: 0.0
Energy relative to the elements, uncorrected, eV/f.u.: 3.31


First-principles (GGA-PBE) data for a geometry-optimized MoP2Se structure, as listed in the Alexandria database.

Unit cell a=4.4297 b=4.2585 c=4.2678 alpha=62.32 beta=90.00 gamma=90.00
Fractional coordinates of all 4 atoms:
Mo1 0.5000 0.7981 0.7977
P1 0.0000 0.9566 0.9582
P2 0.5000 0.1548 0.1544
Se1 0.0000 0.5906 0.5896

Computed properties:
Final energy, eV/f.u.: -24.8
Fermi-level density of states, states/eV per atom: 0.441
Energy relative to the elements, uncorrected, eV/f.u.: 0.37


First-principles (GGA-PBE) data for a geometry-optimized MoPSe2 structure, as listed in the Alexandria database.

Unit cell a=3.2241 b=4.1938 c=5.0520 alpha=90.00 beta=90.00 gamma=90.00
Fractional coordinates of all 4 atoms:
Mo1 0.5000 0.5000 0.0000
P1 0.0000 0.5000 0.5000
Se1 0.0000 0.0000 0.0000
Se2 0.5000 0.0000 0.5000

Computed properties:
Final energy, eV/f.u.: -20.8
Fermi-level density of states, states/eV per atom: 0.954
Energy relative to the elements, uncorrected, eV/f.u.: 2.45


First-principles (GGA-PBE) data for a geometry-optimized MoP2Se structure, as listed in the Alexandria database.

Unit cell a=4.5335 b=4.5335 c=3.1078 alpha=90.00 beta=90.00 gamma=106.29
Fractional coordinates of all 4 atoms:
Mo1 0.0000 0.5000 0.5000
P1 0.0000 0.0000 0.0000
P2 0.5000 0.5000 0.0000
Se1 0.5000 0.0000 0.5000

Computed properties:
Final energy, eV/f.u.: -23.0
Fermi-level density of states, states/eV per atom: 0.759
Energy relative to the elements, uncorrected, eV/f.u.: 2.12


First-principles (GGA-PBE) data for a geometry-optimized MoP3Se3 structure, as listed in the Alexandria database.

Unit cell a=10.0950 b=10.0947 c=4.5608 alpha=90.00 beta=90.00 gamma=120.00
Site moments in Bohr magnetons follow the coordinates.
Fractional coordinates of all 14 atoms:
P1 0.1199 0.1416 0.2500  0.00
P2 0.8586 0.9784 0.2500  0.00
P3 0.0217 0.8802 0.2500  0.00
P4 0.8801 0.8584 0.7500  0.00
P5 0.1414 0.0216 0.7500  0.00
P6 0.9783 0.1198 0.7500  0.00
Mo1 0.3334 0.6666 0.2500  0.83
Mo2 0.6666 0.3334 0.7500  0.83
Se1 0.1045 0.4397 0.2500  -0.06
Se2 0.5602 0.6645 0.2500  -0.06
Se3 0.3355 0.8955 0.2500  -0.06
Se4 0.8955 0.5603 0.7500  -0.06
Se5 0.4398 0.3355 0.7500  -0.06
Se6 0.6645 0.1045 0.7500  -0.06

Computed properties:
Final energy, eV/f.u.: -34.8
Fermi-level density of states, states/eV per atom: 0.322
E above lowest polymorph, meV per atom: 396.1
Energy relative to the elements, uncorrected, eV/f.u.: 2.75


First-principles (GGA-PBE) data for a geometry-optimized MoP3Se3 structure, as listed in the Alexandria database.

Unit cell a=13.4754 b=11.2055 c=3.0857 alpha=90.00 beta=90.00 gamma=124.37
Fractional coordinates of all 14 atoms:
P1 0.0862 0.1730 0.2500
P2 0.7723 0.7956 0.2500
P3 0.1273 0.0112 0.2500
P4 0.9138 0.8270 0.7500
P5 0.2277 0.2044 0.7500
P6 0.8727 0.9888 0.7500
Mo1 0.7085 0.3635 0.2500
Mo2 0.2915 0.6365 0.7500
Se1 0.1136 0.4933 0.2500
Se2 0.3970 0.5642 0.2500
Se3 0.3604 0.8476 0.2500
Se4 0.8864 0.5067 0.7500
Se5 0.6030 0.4358 0.7500
Se6 0.6396 0.1524 0.7500

Computed properties:
Final energy, eV/f.u.: -37.5
Fermi-level density of states, states/eV per atom: 0.218
E above lowest polymorph, meV per atom: 0.0
Energy relative to the elements, uncorrected, eV/f.u.: -0.02


First-principles (GGA-PBE) data for a geometry-optimized MoP2Se structure, as listed in the Alexandria database.

Unit cell a=4.4670 b=4.4670 c=5.0927 alpha=88.31 beta=88.31 gamma=42.94
Fractional coordinates of all 4 atoms:
Mo1 0.2500 0.2500 0.2500
P1 0.9616 0.9616 0.0861
P2 0.5384 0.5384 0.4139
Se1 0.7500 0.7500 0.7500

Computed properties:
Final energy, eV/f.u.: -24.6
Fermi-level density of states, states/eV per atom: 0.692
Energy relative to the elements, uncorrected, eV/f.u.: 0.51


- Among the records above, which one has the highest Fermi-level density of states?
  MoPSe3


- The highest energy relative to the elements, uncorrected belongs to which entry?
  MoPSe3


- Look up the final energy of the seventh one.
  -37.5 eV/f.u.


- Which value of final energy does entry 1 give?
  -23.5 eV/f.u.